No. 1
Crystalline ZrTa2InF at its relaxed geometry, computed with PBE.

Energy relative to the elements, uncorrected   -0.067 eV per atom
Magnetic moment   0.00 μB/atom
Space group   P4/mmm

Cell lengths 4.3783, 4.6186, 4.3783 Å; angles 90.00, 90.00, 90.00 degrees
Closest atoms and distances in Å follow each position.
Fractional coordinates of all 5 atoms:
Ta 0.0000 0.0000 0.5000  2 F 2.19
Ta 0.5000 0.0000 0.0000  2 F 2.19
F 0.0000 0.0000 0.0000  4 Ta 2.19, 2 Zr 2.31
Zr 0.0000 0.5000 0.0000  2 F 2.31
In 0.5000 0.5000 0.5000  4 Zr 3.10, 8 Ta 3.18


No. 2
Crystalline Ac5Sn5Pt2 at its relaxed geometry, computed with PBE.

Magnetic moment   0.00 μB/atom
Formation energy from the elements   -79.6 kJ per mole of atoms
Space group   C2/m

Cell lengths 4.7597, 8.9080, 9.6083 Å; angles 88.23, 75.66, 74.50 degrees
Closest atoms and distances in Å follow each position.
Fractional coordinates of all 12 atoms:
Sn 0.7194 0.2248 0.3364  1 Pt 2.80
Ac 0.6991 0.6808 0.9209  3 Pt 3.30-3.33, 7 Sn 3.38-3.68
Pt 0.6131 0.5311 0.2427  3 Sn 2.80-2.82
Sn 0.0543 0.6969 0.1944  2 Pt 2.82
Sn 0.0000 0.0000 0.0000  2 Sn 3.22
Ac 0.3751 0.9294 0.3205  5 Sn 3.29-3.50, 1 Pt 3.47
Ac 0.3009 0.3192 0.0791  3 Pt 3.30-3.33, 7 Sn 3.38-3.68
Ac 0.0000 0.5000 0.5000  6 Sn 3.36-3.65, 4 Pt 3.39
Sn 0.9457 0.3031 0.8056  2 Pt 2.82
Ac 0.6249 0.0706 0.6795  5 Sn 3.29-3.50, 1 Pt 3.47
Sn 0.2806 0.7752 0.6636  1 Pt 2.80
Pt 0.3869 0.4689 0.7573  3 Sn 2.80-2.82


No. 3
Crystalline Ce3Pm2DySb6 at its relaxed geometry, computed with PBE.

Energy relative to the elements, uncorrected   -1.108 eV per atom
Magnetic moment   0.20 μB/atom
Space group   C2/m

Cell lengths 7.7557, 7.7557, 7.7601 Å; angles 99.59, 99.59, 120.00 degrees
Closest atoms and distances in Å follow each position.
Fractional coordinates of all 12 atoms:
Sb 0.9176 0.5881 0.7521  1 Dy 3.13, 3 Ce 3.16-3.19, 2 Pm 3.17-3.18
Ce 0.1683 0.8317 0.5000  6 Sb 3.16-3.19
Pm 0.3340 0.6660 0.0000  6 Sb 3.17-3.18
Sb 0.5881 0.9176 0.7521  1 Dy 3.13, 3 Ce 3.16-3.19, 2 Pm 3.17-3.18
Sb 0.2458 0.2458 0.7502  1 Dy 3.14, 3 Ce 3.17-3.19, 2 Pm 3.17
Dy 0.0000 0.0000 0.0000  6 Sb 3.13-3.14
Sb 0.7542 0.7542 0.2498  1 Dy 3.14, 3 Ce 3.17-3.19, 2 Pm 3.17
Ce 0.8317 0.1683 0.5000  6 Sb 3.16-3.19
Sb 0.4119 0.0824 0.2479  1 Dy 3.13, 3 Ce 3.16-3.19, 2 Pm 3.17-3.18
Pm 0.6660 0.3340 0.0000  6 Sb 3.17-3.18
Sb 0.0824 0.4119 0.2479  1 Dy 3.13, 3 Ce 3.16-3.19, 2 Pm 3.17-3.18
Ce 0.5000 0.5000 0.5000  6 Sb 3.16-3.19


No. 4
Crystalline NpAgSeS at its relaxed geometry, computed with PBE.

Energy relative to the elements, uncorrected   -0.817 eV per atom
Magnetic moment   1.00 μB/atom
Space group   R-3m

Cell lengths 4.4454, 4.4454, 11.2102 Å; angles 78.56, 78.56, 60.00 degrees
Closest atoms and distances in Å follow each position.
Fractional coordinates of all 8 atoms:
Ag 0.3070 0.3070 0.0791  4 Se 2.78, 3 Ag 3.09
Se 0.6080 0.6080 0.1759  4 Ag 2.78, 3 Np 3.11
S 0.8030 0.8030 0.5909  4 Np 2.69-2.78
Np 0.8879 0.8879 0.3364  4 S 2.69-2.78
Ag 0.6930 0.6930 0.9209  4 Se 2.78, 3 Ag 3.09
Se 0.3920 0.3920 0.8241  4 Ag 2.78, 3 Np 3.11
S 0.1970 0.1970 0.4091  4 Np 2.69-2.78
Np 0.1121 0.1121 0.6636  4 S 2.69-2.78


No. 5
Crystalline Tl3MoC at its relaxed geometry, computed with PBE.

Magnetic moment   0.00 μB/atom
Formation energy from the elements   184.6 kJ per mole of atoms
Space group   Pm-3m
Energy above the most stable polymorph in this dataset   23.6 kJ per mole of atoms

Cell lengths 5.4750, 5.4750, 5.4750 Å; angles 90.00, 90.00, 90.00 degrees
Closest atoms and distances in Å follow each position.
Fractional coordinates of all 5 atoms:
C 0.5000 0.5000 0.5000  12 Tl 3.87
Tl 0.0000 0.5000 0.0000  2 Mo 2.74
Tl 0.0000 0.0000 0.5000  2 Mo 2.74
Tl 0.5000 0.0000 0.0000  2 Mo 2.74
Mo 0.0000 0.0000 0.0000  6 Tl 2.74


No. 6
Crystalline Cs3Li2AgCl6 at its relaxed geometry, computed with PBE.

Energy relative to the elements, uncorrected   -1.596 eV per atom
Magnetic moment   0.00 μB/atom
Space group   P-3m1

Cell lengths 7.6335, 7.6335, 8.8347 Å; angles 90.00, 90.00, 120.00 degrees
Closest atoms and distances in Å follow each position.
Fractional coordinates of all 12 atoms:
Cl 0.1670 0.3339 0.2993  1 Li 2.24
Cl 0.8330 0.1670 0.7007  1 Li 2.24
Li 0.6667 0.3333 0.7499  3 Cl 2.24
Li 0.3333 0.6667 0.2501  3 Cl 2.24
Cl 0.6661 0.8330 0.2993  1 Li 2.24
Cs 0.6667 0.3333 0.3596  1 Li 3.45, 9 Cl 3.73-3.85
Cl 0.1670 0.8330 0.2993  1 Li 2.24
Cs 0.3333 0.6667 0.6404  1 Li 3.45, 9 Cl 3.73-3.85
Cl 0.3339 0.1670 0.7007  1 Li 2.24
Cl 0.8330 0.6661 0.7007  1 Li 2.24
Ag 0.0000 0.0000 0.5000  6 Cl 2.83
Cs 0.0000 0.0000 0.0000  6 Cl 3.44


No. 7
Crystalline Y2Au at its relaxed geometry, computed with PBE.

Magnetic moment   0.00 μB/atom
Formation energy from the elements   -5.7 kJ per mole of atoms
Space group   P6/mmm

Cell lengths 5.0792, 5.0792, 3.1846 Å; angles 90.00, 90.00, 120.00 degrees
Closest atoms and distances in Å follow each position.
Fractional coordinates of all 3 atoms:
Y 0.6667 0.3333 0.0000  5 Y 2.93-3.18
Y 0.3333 0.6667 0.0000  5 Y 2.93-3.18
Au 0.0000 0.0000 0.5000  2 Au 3.18, 12 Y 3.34


No. 8
Crystalline Zn2IrPb at its relaxed geometry, computed with PBE.

Magnetic moment   0.00 μB/atom
Formation energy from the elements   27.2 kJ per mole of atoms
Space group   Cmmm

Cell lengths 4.7867, 4.7867, 3.2142 Å; angles 90.00, 90.00, 107.68 degrees
Closest atoms and distances in Å follow each position.
Fractional coordinates of all 4 atoms:
Zn 0.0000 0.0000 0.0000  2 Zn 2.82, 4 Pb 2.88, 4 Ir 2.88
Pb 0.0000 0.5000 0.5000  2 Ir 2.82, 8 Zn 2.88
Ir 0.5000 0.0000 0.5000  2 Pb 2.82, 8 Zn 2.88
Zn 0.5000 0.5000 0.0000  2 Zn 2.82, 4 Ir 2.88, 4 Pb 2.88


no.,final energy (eV for the cell shown),mass density (g/cm³)
1,-37.20,11.0
2,-62.54,9.3
3,-69.93,7.0
4,-53.34,8.1
5,-17.59,7.3
6,-39.47,2.7
7,-16.38,8.7
8,-13.99,12.5